Here is a relaxed structure of InBi2Te5 from Alexandria via LeMat-Bulk. Energies are from PBE-GGA.

## Properties
spin magnetization = 0.00 μB per cell
electronic total energy = -107.337 eV for the cell shown

Lattice parameters (Å, degrees): 6.3787 15.1533 12.9891 90.00 90.00 90.00
Space group Cmcm (No. 63)
One atom of each set of equivalent atoms:
In1 0.0000 0.2003 0.2500 x4
Bi1 0.0000 0.1711 0.5663 x8
Te1 0.0000 0.0352 0.1195 x8
Te2 0.0000 0.2997 0.7500 x4
Te3 0.0000 0.3300 0.0797 x8

***

Here is a relaxed structure of In3BiTe from Alexandria via LeMat-Bulk. Energies are from PBE-GGA.

## Properties
distance to the lowest polymorph of the same formula = 407 meV/atom
spin magnetization = 0.00 μB per cell
electronic total energy = -13.568 eV for the cell shown

Lattice parameters (Å, degrees): 5.8905 5.8905 5.8905 90.00 90.00 90.00
Space group Pm-3m (No. 221)
One atom of each set of equivalent atoms:
In1 0.0000 0.0000 0.5000 x3
Bi1 0.0000 0.0000 0.0000 x1
Te1 0.5000 0.5000 0.5000 x1

***

Here is a relaxed structure of In2BiTe from Alexandria via LeMat-Bulk. Energies are from PBE-GGA.

## Properties
distance to the lowest polymorph of the same formula = 104 meV/atom
spin magnetization = 0.00 μB per cell
electronic total energy = -12.512 eV for the cell shown

Lattice parameters (Å, degrees): 3.9110 3.9110 7.7271 90.00 90.00 90.00
Space group P4/mmm (No. 123)
One atom of each set of equivalent atoms:
In1 0.0000 0.0000 0.2341 x2
Bi1 0.5000 0.5000 0.5000 x1
Te1 0.5000 0.5000 0.0000 x1

***

Here is a relaxed structure of In2BiTe3 from Alexandria via LeMat-Bulk. Energies are from PBE-GGA.

## Properties
distance to the lowest polymorph of the same formula = 61 meV/atom
spin magnetization = 0.00 μB per cell
electronic total energy = -39.708 eV for the cell shown

Lattice parameters (Å, degrees): 8.2533 4.3958 12.8806 90.00 108.28 90.00
Space group P2_1/m (No. 11)
One atom of each set of equivalent atoms:
In1 0.0681 0.2500 0.3982 x2
In2 0.4174 0.7500 0.8735 x2
Bi1 0.2383 0.7500 0.1236 x2
Te1 0.1699 0.2500 0.9342 x2
Te2 0.1740 0.2500 0.6387 x2
Te3 0.3370 0.2500 0.3082 x2

***

Summary of volume in Å³/f.u.
314, 204, 118, 222
(order as listed above)
Summary of formation energy from raw total energies in meV/atom
-78, 334, -3, -179
(order as listed above)